1.
A PBEsol-optimized structure of Na6Mn2B4AsO16. Source: the Alexandria database, functional SCAN.

a = 9.7598 Å, b = 9.7598 Å, c = 9.7598 Å
α = 60.00°, β = 60.00°, γ = 60.00°
Last column: nearest neighbours and their distance in Å.
Positions (direct):
Na  0.0912  0.0912  0.6588  6 O 2.37-2.51
Na  0.0912  0.6588  0.0912  6 O 2.37-2.51
Na  0.0912  0.6588  0.6588  6 O 2.37-2.51
Na  0.3412  0.3412  0.9088  6 O 2.37-2.51
Na  0.3412  0.9088  0.3412  6 O 2.37-2.51
Na  0.3412  0.9088  0.9088  6 O 2.37-2.51
Na  0.6588  0.0912  0.0912  6 O 2.37-2.51
Na  0.6588  0.0912  0.6588  6 O 2.37-2.51
Na  0.6588  0.6588  0.0912  6 O 2.37-2.51
Na  0.9088  0.3412  0.3412  6 O 2.37-2.51
Na  0.9088  0.3412  0.9088  6 O 2.37-2.51
Na  0.9088  0.9088  0.3412  6 O 2.37-2.51
Mn  0.0000  0.5000  0.5000  6 O 1.89
Mn  0.5000  0.0000  0.5000  6 O 1.89
Mn  0.5000  0.5000  0.0000  6 O 1.89
Mn  0.5000  0.5000  0.5000  6 O 1.89
B  0.2911  0.2911  0.2911  3 O 1.38
B  0.2911  0.2911  0.6267  3 O 1.38
B  0.2911  0.6267  0.2911  3 O 1.38
B  0.3733  0.7089  0.7089  3 O 1.38
B  0.6267  0.2911  0.2911  3 O 1.38
B  0.7089  0.3733  0.7089  3 O 1.38
B  0.7089  0.7089  0.3733  3 O 1.38
B  0.7089  0.7089  0.7089  3 O 1.38
As  0.1250  0.1250  0.1250  4 O 1.71
As  0.8750  0.8750  0.8750  4 O 1.71
O  0.0534  0.0534  0.0534  1 As 1.71
O  0.0534  0.0534  0.3398  1 As 1.71
O  0.0534  0.3398  0.0534  1 As 1.71
O  0.1337  0.3234  0.6329  1 B 1.38
O  0.1337  0.4100  0.3234  1 B 1.38
O  0.1337  0.6329  0.4100  1 B 1.38
O  0.3234  0.1337  0.4100  1 B 1.38
O  0.3234  0.4100  0.6329  1 B 1.38
O  0.3234  0.6329  0.1337  1 B 1.38
O  0.3398  0.0534  0.0534  1 As 1.71
O  0.3671  0.5900  0.8663  1 B 1.38
O  0.3671  0.6766  0.5900  1 B 1.38
O  0.3671  0.8663  0.6766  1 B 1.38
O  0.4100  0.1337  0.6329  1 B 1.38
O  0.4100  0.3234  0.1337  1 B 1.38
O  0.4100  0.6329  0.3234  1 B 1.38
O  0.5900  0.3671  0.6766  1 B 1.38
O  0.5900  0.6766  0.8663  1 B 1.38
O  0.5900  0.8663  0.3671  1 B 1.38
O  0.6329  0.1337  0.3234  1 B 1.38
O  0.6329  0.3234  0.4100  1 B 1.38
O  0.6329  0.4100  0.1337  1 B 1.38
O  0.6602  0.9466  0.9466  1 As 1.71
O  0.6766  0.3671  0.8663  1 B 1.38
O  0.6766  0.5900  0.3671  1 B 1.38
O  0.6766  0.8663  0.5900  1 B 1.38
O  0.8663  0.3671  0.5900  1 B 1.38
O  0.8663  0.5900  0.6766  1 B 1.38
O  0.8663  0.6766  0.3671  1 B 1.38
O  0.9466  0.6602  0.9466  1 As 1.71
O  0.9466  0.9466  0.6602  1 As 1.71
O  0.9466  0.9466  0.9466  1 As 1.71

Summary:
* formation energy from raw total energies: -2141 meV/atom
* space-group type: Fd-3



2.
A PBEsol-optimized structure of MnNb2BAs. Source: the Alexandria database, functional SCAN.

a = 4.8093 Å, b = 4.8093 Å, c = 3.7428 Å
α = 90.00°, β = 90.00°, γ = 90.00°
Last column: nearest neighbours and their distance in Å.
Positions (direct):
Mn  0.0000  0.0000  0.0000  8 Nb 3.05, 4 B 3.40
Nb  0.0000  0.5000  0.5000  2 As 2.40
Nb  0.5000  0.0000  0.5000  2 As 2.40
B  0.5000  0.5000  0.0000  2 As 1.87
As  0.5000  0.5000  0.5000  2 B 1.87

Summary:
* formation energy from the elements: 1.06 eV per atom
* space-group type: P4/mmm



What are the electronic total energy values for these records? In order: -9.430, -21.372 eV/atom.